1.
Density functional theory data (PBE) for a relaxed AcTm3Cd4 crystal.

The space group is P4/mmm (No. 123) and the conventional cell measures 5.325, 5.325 and 7.743 Å, with angles of 90.00, 90.00 and 90.00 degrees. The asymmetric unit holds Ac at (0.000, 0.000, 0.000), Tm at (0.000, 0.000, 0.500), Tm at (0.500, 0.500, 0.000), Tm at (0.500, 0.500, 0.500) and Cd at (0.000, 0.500, 0.273).

The calculation puts the total energy at -2.91 eV per atom. The formation energy is -0.265 eV per atom. The density of states at the Fermi level is 0.945 states/eV/atom.

***

2.
Density functional theory data (PBE) for a relaxed AcTm2Cd3 crystal.

The space group is P4/mmm (No. 123) and the conventional cell measures 3.784, 3.784 and 11.700 Å, with angles of 90.00, 90.00 and 90.00 degrees. The asymmetric unit holds Ac at (0.000, 0.000, 0.000), Tm at (0.000, 0.000, 0.345), Cd at (0.500, 0.500, 0.199) and Cd at (0.500, 0.500, 0.500).

The calculation puts the total energy at -2.92 eV per atom. The formation energy is -0.283 eV per atom. The density of states at the Fermi level is 1.002 states/eV/atom.

***

3.
Density functional theory data (PBE) for a relaxed Ac2TmCd2 crystal.

The space group is Immm (No. 71) and the conventional cell measures 4.112, 7.554 and 10.978 Å, with angles of 90.00, 90.00 and 90.00 degrees. The asymmetric unit holds Ac at (0.000, 0.000, 0.220), Tm at (0.000, 0.500, 0.000) and Cd at (0.000, 0.300, 0.500).

The calculation puts the total energy at -3.05 eV per atom. The formation energy is -0.144 eV per atom. The density of states at the Fermi level is 1.032 states/eV/atom.

***

4.
Density functional theory data (PBE) for a relaxed Ac6TmCd2 crystal.

The space group is C2/m (No. 12) and the conventional cell measures 13.849, 4.021 and 12.988 Å, with angles of 90.00, 108.07 and 90.00 degrees. The asymmetric unit holds Ac at (0.030, 0.000, 0.329), Ac at (0.178, 0.500, 0.879), Ac at (0.187, 0.500, 0.594), Tm at (0.000, 0.000, 0.000) and Cd at (0.139, 0.500, 0.177).

The calculation puts the total energy at -3.53 eV per atom. The formation energy is -0.091 eV per atom. The density of states at the Fermi level is 1.213 states/eV/atom.

***

5.
Density functional theory data (PBE) for a relaxed Ac2TmCd3 crystal.

The space group is P4/mmm (No. 123) and the conventional cell measures 3.842, 3.842 and 12.485 Å, with angles of 90.00, 90.00 and 90.00 degrees. The asymmetric unit holds Ac at (0.000, 0.000, 0.181), Tm at (0.000, 0.000, 0.500), Cd at (0.500, 0.500, 0.000) and Cd at (0.500, 0.500, 0.366).

The calculation puts the total energy at -2.85 eV per atom. The formation energy is -0.275 eV per atom. The density of states at the Fermi level is 1.120 states/eV/atom.

***

6.
Density functional theory data (PBE) for a relaxed AcTm2Cd2 crystal.

The space group is Cmmm (No. 65) and the conventional cell measures 3.848, 21.284 and 3.767 Å, with angles of 90.00, 90.00 and 90.00 degrees. The asymmetric unit holds Ac at (0.000, 0.000, 0.000), Tm at (0.000, 0.183, 0.000) and Cd at (0.000, 0.393, 0.500).

The calculation puts the total energy at -3.06 eV per atom. The formation energy is -0.080 eV per atom. The density of states at the Fermi level is 1.020 states/eV/atom.